## In3PtRh2 (PBE-GGA)

Data for crystalline In3PtRh2 at its relaxed geometry.

a b c (Å): 4.609 4.609 11.310
angles (deg): 90.00 90.00 120.00
Fractional positions:
In 0.333 0.667 0.417
In 0.667 0.333 0.081
In 0.000 0.000 0.752
In 0.000 0.000 0.248
In 0.333 0.667 0.919
In 0.667 0.333 0.583
Pt 0.333 0.667 0.668
Pt 0.667 0.333 0.332
Rh 0.000 0.000 0.500
Rh 0.333 0.667 0.165
Rh 0.667 0.333 0.835
Rh 0.000 0.000 0.000

Calculated values
Space group = P-3m1
ΔE_f = -0.393 eV/atom

=====

## InPt14Rh (PBE-GGA)

Data for crystalline InPt14Rh at its relaxed geometry.

a b c (Å): 5.603 5.603 9.323
angles (deg): 90.00 90.00 120.04
Fractional positions:
In 0.042 0.958 0.500
Pt 0.208 0.792 0.000
Pt 0.707 0.293 0.000
Pt 0.043 0.458 0.500
Pt 0.208 0.292 0.000
Pt 0.542 0.957 0.500
Pt 0.708 0.792 0.000
Pt 0.377 0.127 0.749
Pt 0.377 0.127 0.251
Pt 0.873 0.623 0.749
Pt 0.873 0.623 0.251
Pt 0.376 0.624 0.748
Pt 0.376 0.624 0.252
Pt 0.875 0.125 0.750
Pt 0.875 0.125 0.250
Rh 0.541 0.459 0.500

Calculated values
Space group = Amm2
ΔE_f = -0.064 eV/atom

=====

## InPtRh (PBE-GGA)

Data for crystalline InPtRh at its relaxed geometry.

a b c (Å): 5.019 5.019 5.019
angles (deg): 145.86 134.77 57.87
Fractional positions:
In 0.998 0.998 0.000
Pt 0.666 0.666 0.000
Rh 0.337 0.337 0.000

Calculated values
Excess energy over the best structure of this formula in the dataset = 0.079 eV per atom
Space group = Imm2
ΔE_f = -0.203 eV/atom

=====

## InPtRh (PBE-GGA)

Data for crystalline InPtRh at its relaxed geometry.

a b c (Å): 6.002 6.002 6.002
angles (deg): 151.29 151.29 41.05
Fractional positions:
In 0.003 0.003 0.000
Pt 0.331 0.331 0.000
Rh 0.665 0.665 0.000

Calculated values
Excess energy over the best structure of this formula in the dataset = 0.067 eV per atom
Space group = I4mm
ΔE_f = -0.215 eV/atom

=====

## InPt3Rh (PBE-GGA)

Data for crystalline InPt3Rh at its relaxed geometry.

a b c (Å): 3.983 4.016 10.282
angles (deg): 90.00 78.83 90.00
Fractional positions:
In 0.473 0.750 0.703
In 0.176 0.250 0.297
Pt 0.776 0.250 0.096
Pt 0.375 0.250 0.897
Pt 0.573 0.250 0.502
Pt 0.273 0.750 0.103
Pt 0.872 0.750 0.904
Pt 0.075 0.750 0.498
Rh 0.674 0.750 0.300
Rh 0.974 0.250 0.700

Calculated values
Excess energy over the best structure of this formula in the dataset = 0.000 eV per atom
Space group = Cmcm
ΔE_f = -0.237 eV/atom

=====

## InPt4Rh4 (PBE-GGA)

Data for crystalline InPt4Rh4 at its relaxed geometry.

a b c (Å): 3.932 6.257 6.257
angles (deg): 84.33 71.68 71.68
Fractional positions:
In 0.000 0.000 0.000
Pt 0.000 0.669 0.331
Pt 0.000 0.331 0.669
Pt 0.669 0.331 0.331
Pt 0.331 0.669 0.669
Rh 0.332 0.336 0.000
Rh 0.668 0.664 0.000
Rh 0.668 0.000 0.664
Rh 0.332 0.000 0.336

Calculated values
Space group = I4/mmm
ΔE_f = -0.110 eV/atom

=====

## In2Pt5Rh (PBE-GGA)

Data for crystalline In2Pt5Rh at its relaxed geometry.

a b c (Å): 4.014 5.718 11.436
angles (deg): 90.00 90.00 90.00
Fractional positions:
In 0.500 0.242 0.623
In 0.500 0.758 0.377
In 0.500 0.258 0.123
In 0.500 0.742 0.877
Pt 0.000 0.000 0.000
Pt 0.000 0.500 0.500
Pt 0.000 0.492 0.750
Pt 0.000 0.508 0.250
Pt 0.000 0.008 0.250
Pt 0.000 0.992 0.750
Pt 0.500 0.246 0.876
Pt 0.500 0.754 0.124
Pt 0.500 0.254 0.376
Pt 0.500 0.746 0.624
Rh 0.000 0.000 0.500
Rh 0.000 0.500 0.000

Calculated values
Space group = Pbam
ΔE_f = -0.346 eV/atom

=====

## InPtRh3 (PBE-GGA)

Data for crystalline InPtRh3 at its relaxed geometry.

a b c (Å): 4.807 4.807 4.807
angles (deg): 90.00 90.00 90.00
Fractional positions:
Rh 0.000 0.500 0.000
Rh 0.000 0.000 0.500
Rh 0.500 0.000 0.000
Pt 0.000 0.000 0.000
In 0.500 0.500 0.500

Calculated values
Excess energy over the best structure of this formula in the dataset = 0.000 eV per atom
Space group = Pm-3m
ΔE_f = 1.103 eV/atom

=====

## InRuPt2Rh (PBE-GGA)

Data for crystalline InRuPt2Rh at its relaxed geometry.

a b c (Å): 4.824 4.876 4.824
angles (deg): 90.00 90.00 90.00
Fractional positions:
Ru 0.500 0.500 0.500
Rh 0.000 0.000 0.000
Pt 0.000 0.000 0.500
Pt 0.500 0.000 0.000
In 0.000 0.500 0.000

Calculated values
Space group = P4/mmm
ΔE_f = 1.396 eV/atom

=====

## Sc4InPtRh2 (PBE-GGA)

Data for crystalline Sc4InPtRh2 at its relaxed geometry.

a b c (Å): 4.700 4.700 8.205
angles (deg): 73.36 73.36 60.00
Fractional positions:
Sc 0.381 0.381 0.856
Sc 0.870 0.870 0.389
Sc 0.130 0.130 0.611
Sc 0.619 0.619 0.144
In 0.000 0.000 0.000
Pt 0.500 0.500 0.500
Rh 0.749 0.749 0.754
Rh 0.251 0.251 0.246

Calculated values
Space group = R-3m
ΔE_f = -0.876 eV/atom

=====

## Sc5In2PtRh2 (PBE-GGA)

Data for crystalline Sc5In2PtRh2 at its relaxed geometry.

a b c (Å): 3.348 11.048 11.048
angles (deg): 90.00 90.00 90.00
Fractional positions:
Sc 0.500 0.195 0.072
Sc 0.500 0.805 0.928
Sc 0.500 0.072 0.805
Sc 0.500 0.695 0.428
Sc 0.500 0.928 0.195
Sc 0.500 0.305 0.572
Sc 0.500 0.572 0.695
Sc 0.500 0.428 0.305
Sc 0.500 0.500 0.000
Sc 0.500 0.000 0.500
In 0.000 0.672 0.172
In 0.000 0.328 0.828
In 0.000 0.172 0.328
In 0.000 0.828 0.672
Pt 0.000 0.000 0.000
Pt 0.000 0.500 0.500
Rh 0.000 0.135 0.635
Rh 0.000 0.865 0.365
Rh 0.000 0.635 0.865
Rh 0.000 0.365 0.135

Calculated values
Space group = P4/mbm
ΔE_f = -0.771 eV/atom

=====

## Sc2InPtRh (PBE-GGA)

Data for crystalline Sc2InPtRh at its relaxed geometry.

a b c (Å): 4.971 4.989 4.971
angles (deg): 90.00 90.00 90.00
Fractional positions:
Sc 0.000 0.000 0.500
Sc 0.500 0.000 0.000
Rh 0.500 0.500 0.500
Pt 0.000 0.000 0.000
In 0.000 0.500 0.000

Calculated values
Space group = P4/mmm
ΔE_f = -0.008 eV/atom

=====

Number 1: M_tot 0.0 μB per formula unit. Number 2: M_tot 0.0 μB per formula unit. Number 3: M_tot 0.0 μB per formula unit. Number 4: M_tot 0.0 μB per formula unit. Number 5: M_tot 0.0 μB per formula unit. Number 6: M_tot 0.0 μB per formula unit. Number 7: M_tot 0.0 μB per formula unit. Number 8: M_tot 2.0 μB per formula unit. Number 9: M_tot 3.6 μB per formula unit. Number 10: M_tot 0.0 μB per formula unit. Number 11: M_tot 0.0 μB per formula unit. Number 12: M_tot 0.0 μB per formula unit.